# 1
Compound: NaPm2As
Source: Alexandria via LeMat-Bulk
Functional: PBE-GGA
Structure: optimized geometry

Cell: 4.9730 4.9730 4.1934 Å, 90.00 90.00 90.00°
Space group P4/mmm (No. 123)
Asymmetric unit:
Na 0.0000 0.0000 0.0000 (multiplicity 1)
Pm 0.0000 0.5000 0.5000 (multiplicity 2)
As 0.5000 0.5000 0.0000 (multiplicity 1)

Output
magnetic moment	0.00	μB per atom
volume	25.9	Å³/atom
calculated formation energy	-0.43	eV/atom
calculated density	6.21	g cm⁻³

# 2
Compound: NaPmAs2
Source: Alexandria via LeMat-Bulk
Functional: PBE-GGA
Structure: optimized geometry

Cell: 7.2084 7.2084 7.2084 Å, 90.00 90.00 90.00°
Space group Fm-3m (No. 225)
Asymmetric unit:
Na 0.0000 0.0000 0.0000 (multiplicity 4)
Pm 0.0000 0.0000 0.5000 (multiplicity 4)
As 0.2500 0.2500 0.2500 (multiplicity 8)

Output
magnetic moment	0.00	μB per atom
volume	23.4	Å³/atom
calculated formation energy	-0.62	eV/atom
calculated density	5.64	g cm⁻³

# 3
Compound: NaPm2As
Source: Alexandria via LeMat-Bulk
Functional: PBE-GGA
Structure: optimized geometry

Cell: 7.4100 7.4100 7.4100 Å, 90.00 90.00 90.00°
Space group Fm-3m (No. 225)
Asymmetric unit:
Na 0.0000 0.0000 0.0000 (multiplicity 4)
Pm 0.2500 0.2500 0.2500 (multiplicity 8)
As 0.0000 0.0000 0.5000 (multiplicity 4)

Output
magnetic moment	0.00	μB per atom
volume	25.4	Å³/atom
calculated formation energy	-0.35	eV/atom
calculated density	6.33	g cm⁻³

# 4
Compound: NaPm2As
Source: Alexandria via LeMat-Bulk
Functional: PBE-GGA
Structure: optimized geometry

Cell: 3.7749 3.7749 8.0443 Å, 90.00 90.00 90.00°
Space group P4/mmm (No. 123)
Asymmetric unit:
Na 0.0000 0.0000 0.0000 (multiplicity 1)
Pm 0.5000 0.5000 0.2998 (multiplicity 2)
As 0.0000 0.0000 0.5000 (multiplicity 1)

Output
magnetic moment	0.00	μB per atom
volume	28.7	Å³/atom
calculated formation energy	-0.44	eV/atom
calculated density	5.62	g cm⁻³

# 5
Compound: NaPmAs2
Source: Alexandria via LeMat-Bulk
Functional: PBE-GGA
Structure: optimized geometry

Cell: 4.7873 4.7873 4.0024 Å, 90.00 90.00 90.00°
Space group P4/mmm (No. 123)
Asymmetric unit:
Na 0.0000 0.0000 0.0000 (multiplicity 1)
Pm 0.5000 0.5000 0.0000 (multiplicity 1)
As 0.0000 0.5000 0.5000 (multiplicity 2)

Output
magnetic moment	0.00	μB per atom
volume	22.9	Å³/atom
calculated formation energy	-0.70	eV/atom
calculated density	5.75	g cm⁻³

# 6
Compound: NaPm3As
Source: Alexandria via LeMat-Bulk
Functional: PBE-GGA
Structure: optimized geometry

Cell: 5.6941 5.6941 5.6941 Å, 90.00 90.00 90.00°
Space group Pm-3m (No. 221)
Asymmetric unit:
Na 0.0000 0.0000 0.0000 (multiplicity 1)
Pm 0.0000 0.5000 0.5000 (multiplicity 3)
As 0.5000 0.5000 0.5000 (multiplicity 1)

Output
magnetic moment	0.00	μB per atom
volume	36.9	Å³/atom
calculated formation energy	-0.24	eV/atom
calculated density	4.79	g cm⁻³

# 7
Compound: NaPm2As
Source: Alexandria via LeMat-Bulk
Functional: PBE-GGA
Structure: optimized geometry

Cell: 3.9861 3.9861 32.5549 Å, 90.00 90.00 120.00°
Space group R-3m (No. 166, hexagonal axes)
Asymmetric unit:
Na 0.0000 0.0000 0.0000 (multiplicity 3)
Pm 0.0000 0.0000 0.1141 (multiplicity 6)
As 0.0000 0.0000 0.5000 (multiplicity 3)

Output
magnetic moment	0.00	μB per atom
volume	37.3	Å³/atom
calculated formation energy	-0.50	eV/atom
calculated density	4.31	g cm⁻³

# 8
Compound: NaPm2As3Pt4
Source: Alexandria via LeMat-Bulk
Functional: PBE-GGA
Structure: optimized geometry

Cell: 4.2945 4.2945 10.7971 Å, 90.00 90.00 90.00°
Space group P-4m2 (No. 115)
Asymmetric unit:
Na 0.0000 0.0000 0.0000 (multiplicity 1)
Pm 0.0000 0.5000 0.7286 (multiplicity 2)
As 0.0000 0.5000 0.3688 (multiplicity 2)
As 0.5000 0.5000 0.0000 (multiplicity 1)
Pt 0.0000 0.0000 0.5000 (multiplicity 1)
Pt 0.0000 0.5000 0.1458 (multiplicity 2)
Pt 0.5000 0.5000 0.5000 (multiplicity 1)

Output
magnetic moment	0.00	μB per atom
volume	19.9	Å³/atom
calculated formation energy	-0.78	eV/atom
calculated density	10.99	g cm⁻³

# 9
Compound: Na2PmAs3Pt4
Source: Alexandria via LeMat-Bulk
Functional: PBE-GGA
Structure: optimized geometry

Cell: 4.3419 4.3419 11.1369 Å, 90.00 90.00 90.00°
Space group P-4m2 (No. 115)
Asymmetric unit:
Na 0.0000 0.5000 0.2222 (multiplicity 2)
Pm 0.0000 0.0000 0.5000 (multiplicity 1)
As 0.0000 0.5000 0.8792 (multiplicity 2)
As 0.5000 0.5000 0.5000 (multiplicity 1)
Pt 0.0000 0.0000 0.0000 (multiplicity 1)
Pt 0.0000 0.5000 0.6633 (multiplicity 2)
Pt 0.5000 0.5000 0.0000 (multiplicity 1)

Output
magnetic moment	0.00	μB per atom
volume	21.0	Å³/atom
calculated formation energy	-0.54	eV/atom
calculated density	9.46	g cm⁻³

# 10
Compound: NaPmAs2Pt4
Source: Alexandria via LeMat-Bulk
Functional: PBE-GGA
Structure: optimized geometry

Cell: 4.0415 4.0415 10.5330 Å, 90.00 90.00 90.00°
Space group P4/mmm (No. 123)
Asymmetric unit:
Na 0.0000 0.0000 0.0000 (multiplicity 1)
Pm 0.0000 0.0000 0.5000 (multiplicity 1)
As 0.5000 0.5000 0.1522 (multiplicity 2)
Pt 0.0000 0.5000 0.2884 (multiplicity 4)

Output
magnetic moment	0.00	μB per atom
volume	21.5	Å³/atom
calculated formation energy	-0.59	eV/atom
calculated density	10.60	g cm⁻³

# 11
Compound: Na2PmAsS4
Source: Alexandria via LeMat-Bulk
Functional: PBE-GGA
Structure: optimized geometry

Cell: 6.8442 3.9533 7.0555 Å, 90.00 108.92 90.00°
Space group P2/m (No. 10)
Asymmetric unit:
Na 0.0000 0.0000 0.0000 (multiplicity 1)
Na 0.5000 0.5000 0.0000 (multiplicity 1)
Pm 0.0000 0.5000 0.5000 (multiplicity 1)
As 0.5000 0.0000 0.5000 (multiplicity 1)
S 0.2604 0.0000 0.7274 (multiplicity 2)
S 0.2767 0.5000 0.2807 (multiplicity 2)

Output
magnetic moment	0.00	μB per atom
volume	22.6	Å³/atom
formation energy from raw total energies	-1.14	eV/atom
calculated density	3.62	g cm⁻³

# 12
Compound: NaPmSbAs
Source: Alexandria via LeMat-Bulk
Functional: PBE-GGA
Structure: optimized geometry

Cell: 7.4644 7.4644 7.4644 Å, 90.00 90.00 90.00°
Space group F-43m (No. 216)
Asymmetric unit:
Na 0.0000 0.0000 0.0000 (multiplicity 4)
Pm 0.0000 0.0000 0.5000 (multiplicity 4)
Sb 0.2500 0.2500 0.7500 (multiplicity 4)
As 0.2500 0.2500 0.2500 (multiplicity 4)

Output
magnetic moment	0.00	μB per atom
volume	26.0	Å³/atom
formation energy from raw total energies	-0.55	eV/atom
calculated density	5.82	g cm⁻³

# 13
Compound: NaPm2UAs4
Source: Alexandria via LeMat-Bulk
Functional: PBE-GGA
Structure: optimized geometry

Cell: 7.2155 4.1966 7.2205 Å, 90.00 108.54 90.00°
Space group P2/m (No. 10)
Asymmetric unit:
Na 0.0000 0.0000 0.0000 (multiplicity 1)
Pm 0.0000 0.5000 0.5000 (multiplicity 1)
Pm 0.5000 0.0000 0.5000 (multiplicity 1)
U 0.5000 0.5000 0.0000 (multiplicity 1)
As 0.2622 0.0000 0.7614 (multiplicity 2)
As 0.2687 0.5000 0.2413 (multiplicity 2)

Output
magnetic moment	0.12	μB per atom
volume	25.9	Å³/atom
calculated formation energy	-0.96	eV/atom
calculated density	6.81	g cm⁻³

# 14
Compound: NaPmZnAs
Source: Alexandria via LeMat-Bulk
Functional: PBE-GGA
Structure: optimized geometry

Cell: 7.1687 7.1687 7.1687 Å, 90.00 90.00 90.00°
Space group F-43m (No. 216)
Asymmetric unit:
Na 0.0000 0.0000 0.0000 (multiplicity 4)
Pm 0.0000 0.0000 0.5000 (multiplicity 4)
Zn 0.2500 0.2500 0.2500 (multiplicity 4)
As 0.2500 0.2500 0.7500 (multiplicity 4)

Output
magnetic moment	0.00	μB per atom
volume	23.0	Å³/atom
calculated formation energy	-0.43	eV/atom
calculated density	5.56	g cm⁻³

# 15
Compound: NaPrAs2
Source: Alexandria via LeMat-Bulk
Functional: PBE-GGA
Structure: optimized geometry

Cell: 7.2767 7.2767 7.2767 Å, 90.00 90.00 90.00°
Space group Fm-3m (No. 225)
Asymmetric unit:
Na 0.0000 0.0000 0.0000 (multiplicity 4)
Pr 0.0000 0.0000 0.5000 (multiplicity 4)
As 0.2500 0.2500 0.2500 (multiplicity 8)

Output
magnetic moment	0.00	μB per atom
volume	24.1	Å³/atom
calculated formation energy	-0.62	eV/atom
calculated density	5.41	g cm⁻³

# 16
Compound: NaPr2As
Source: Alexandria via LeMat-Bulk
Functional: PBE-GGA
Structure: optimized geometry

Cell: 4.1317 4.1317 28.8434 Å, 90.00 90.00 120.00°
Space group R-3m (No. 166, hexagonal axes)
Asymmetric unit:
Na 0.0000 0.0000 0.0000 (multiplicity 3)
Pr 0.0000 0.0000 0.2260 (multiplicity 6)
As 0.0000 0.0000 0.5000 (multiplicity 3)

Output
magnetic moment	0.00	μB per atom
volume	35.5	Å³/atom
calculated formation energy	-0.58	eV/atom
calculated density	4.44	g cm⁻³

# 17
Compound: NaPr2As3Pt4
Source: Alexandria via LeMat-Bulk
Functional: PBE-GGA
Structure: optimized geometry

Cell: 4.3296 4.3296 10.7782 Å, 90.00 90.00 90.00°
Space group P-4m2 (No. 115)
Asymmetric unit:
Na 0.0000 0.0000 0.0000 (multiplicity 1)
Pr 0.0000 0.5000 0.7317 (multiplicity 2)
As 0.0000 0.5000 0.3703 (multiplicity 2)
As 0.5000 0.5000 0.0000 (multiplicity 1)
Pt 0.0000 0.0000 0.5000 (multiplicity 1)
Pt 0.0000 0.5000 0.1455 (multiplicity 2)
Pt 0.5000 0.5000 0.5000 (multiplicity 1)

Output
magnetic moment	0.00	μB per atom
volume	20.2	Å³/atom
calculated formation energy	-0.79	eV/atom
calculated density	10.77	g cm⁻³

# 18
Compound: NaPrAs2Pt4
Source: Alexandria via LeMat-Bulk
Functional: PBE-GGA
Structure: optimized geometry

Cell: 4.0502 4.0502 10.6182 Å, 90.00 90.00 90.00°
Space group P4/mmm (No. 123)
Asymmetric unit:
Na 0.0000 0.0000 0.0000 (multiplicity 1)
Pr 0.0000 0.0000 0.5000 (multiplicity 1)
As 0.5000 0.5000 0.1510 (multiplicity 2)
Pt 0.0000 0.5000 0.2855 (multiplicity 4)

Output
magnetic moment	0.00	μB per atom
volume	21.8	Å³/atom
calculated formation energy	-0.58	eV/atom
calculated density	10.43	g cm⁻³

# 19
Compound: NaPr2As3Rh4
Source: Alexandria via LeMat-Bulk
Functional: PBE-GGA
Structure: optimized geometry

Cell: 4.1489 4.1489 11.0006 Å, 90.00 90.00 90.00°
Space group P-4m2 (No. 115)
Asymmetric unit:
Na 0.0000 0.0000 0.0000 (multiplicity 1)
Pr 0.0000 0.5000 0.7458 (multiplicity 2)
As 0.0000 0.5000 0.3705 (multiplicity 2)
As 0.5000 0.5000 0.0000 (multiplicity 1)
Rh 0.0000 0.0000 0.5000 (multiplicity 1)
Rh 0.0000 0.5000 0.1531 (multiplicity 2)
Rh 0.5000 0.5000 0.5000 (multiplicity 1)

Output
magnetic moment	0.00	μB per atom
volume	18.9	Å³/atom
calculated formation energy	-0.78	eV/atom
calculated density	8.25	g cm⁻³

# 20
Compound: Na2PrAsS4
Source: Alexandria via LeMat-Bulk
Functional: PBE-GGA
Structure: optimized geometry

Cell: 6.8996 3.9894 7.0727 Å, 90.00 109.05 90.00°
Space group P2/m (No. 10)
Asymmetric unit:
Na 0.0000 0.0000 0.0000 (multiplicity 1)
Na 0.5000 0.5000 0.0000 (multiplicity 1)
Pr 0.0000 0.5000 0.5000 (multiplicity 1)
As 0.5000 0.0000 0.5000 (multiplicity 1)
S 0.2645 0.0000 0.7295 (multiplicity 2)
S 0.2794 0.5000 0.2801 (multiplicity 2)

Output
magnetic moment	0.00	μB per atom
volume	23.0	Å³/atom
formation energy from raw total energies	-1.11	eV/atom
calculated density	3.52	g cm⁻³